A relaxed MnInTe2 crystal. Source: Alexandria, functional PBE.

Values from the calculation:
- energy relative to the elements, uncorrected (eV per atom) = -0.036
- calculated volume (Å³/atom) = 28.54
- total energy (eV per atom) = -4.584

```
data_MnInTe2
_space_group_name_H-M_alt 'I m m 2'
_space_group_IT_number 44
_cell_length_a 3.690
_cell_length_b 3.911
_cell_length_c 15.823
_cell_angle_alpha 90.00
_cell_angle_beta 90.00
_cell_angle_gamma 90.00
loop_
_space_group_symop_operation_xyz
'x,y,z'
'-x,-y,z'
'-x,y,z'
'x,-y,z'
'x+1/2,y+1/2,z+1/2'
'-x+1/2,-y+1/2,z+1/2'
'-x+1/2,y+1/2,z+1/2'
'x+1/2,-y+1/2,z+1/2'
loop_
_atom_site_label
_atom_site_fract_x
_atom_site_fract_y
_atom_site_fract_z
_atom_site_occupancy
Mn1 0.000 0.000 0.000 1
In1 0.000 0.500 0.249 1
Te1 0.000 0.000 0.428 1
Te2 0.000 0.500 0.631 1
```